Entry 1:
A plane-wave DFT calculation with PBE was carried out for a relaxed YThZr2N4 crystal.

The crystal system is tetragonal. Its uncorrected formation energy is -12.6 eV/f.u. As for the total energy: -153.83 eV/cell.

Geometry as CIF:
```
data_YThZr2N4
_chemical_formula_sum 'Y2 Th2 Zr4 N8'
_cell_length_a 4.850
_cell_length_b 4.850
_cell_length_c 9.676
_cell_angle_alpha 90.00
_cell_angle_beta 90.00
_cell_angle_gamma 90.00
_symmetry_space_group_name_H-M 'I -4 m 2'
_symmetry_Int_Tables_number 119
_symmetry_space_group_name_Hall 'I -4 -2'
loop_
_atom_site_label
_atom_site_type_symbol
_atom_site_fract_x
_atom_site_fract_y
_atom_site_fract_z
Y1 Y 0.000 0.000 0.000
Th1 Th 0.000 0.500 0.750
Zr1 Zr 0.000 0.000 0.500
Zr2 Zr 0.000 0.500 0.250
N1 N 0.000 0.000 0.255
N2 N 0.000 0.500 0.007
```

---

Entry 2:
A plane-wave DFT calculation with PBE was carried out for a relaxed Be3Cr2B2 crystal.

The crystal system is monoclinic. As for the total energy: -92.22 eV/cell. The value obtained for the formation energy is -0.33 eV per atom.

Geometry as CIF:
```
data_Be3Cr2B2
_chemical_formula_sum 'Be6 Cr4 B4'
_cell_length_a 7.643
_cell_length_b 2.959
_cell_length_c 5.082
_cell_angle_alpha 90.00
_cell_angle_beta 99.39
_cell_angle_gamma 90.00
_symmetry_space_group_name_H-M 'C 1 2/m 1'
_symmetry_Int_Tables_number 12
loop_
_symmetry_equiv_pos_as_xyz
'x,y,z'
'-x,-y,-z'
'-x,y,-z'
'x,-y,z'
'x+1/2,y+1/2,z'
'-x+1/2,-y+1/2,-z'
'-x+1/2,y+1/2,-z'
'x+1/2,-y+1/2,z'
loop_
_atom_site_label
_atom_site_type_symbol
_atom_site_fract_x
_atom_site_fract_y
_atom_site_fract_z
Be1 Be 0.000 0.000 0.000
Be2 Be 0.185 0.500 0.854
Cr1 Cr 0.130 0.500 0.349
B1 B 0.082 0.000 0.638
```

---

Entry 3:
A plane-wave DFT calculation with PBE was carried out for a relaxed LaScTl6 crystal.

The crystal system is tetragonal. As for the total energy: -27.27 eV/cell. The value obtained for the formation energy is -0.23 eV per atom.

Geometry as CIF:
```
data_LaScTl6
_chemical_formula_sum 'La1 Sc1 Tl6'
_cell_length_a 4.802
_cell_length_b 4.802
_cell_length_c 9.510
_cell_angle_alpha 90.00
_cell_angle_beta 90.00
_cell_angle_gamma 90.00
_symmetry_space_group_name_H-M 'P 4/m m m'
_symmetry_Int_Tables_number 123
_symmetry_space_group_name_Hall '-P 4 2'
loop_
_atom_site_label
_atom_site_type_symbol
_atom_site_fract_x
_atom_site_fract_y
_atom_site_fract_z
La1 La 0.000 0.000 0.000
Sc1 Sc 0.000 0.000 0.500
Tl1 Tl 0.000 0.500 0.261
Tl2 Tl 0.500 0.500 0.000
Tl3 Tl 0.500 0.500 0.500
```

---

Entry 4:
A plane-wave DFT calculation with PBE was carried out for a relaxed InMo2Ru crystal.

The crystal system is tetragonal. As for the total energy: -31.54 eV/cell. The value obtained for the formation energy is 0.53 eV per atom.

Geometry as CIF:
```
data_InMo2Ru
_chemical_formula_sum 'In1 Mo2 Ru1'
_cell_length_a 4.752
_cell_length_b 4.752
_cell_length_c 2.933
_cell_angle_alpha 90.00
_cell_angle_beta 90.00
_cell_angle_gamma 90.00
_symmetry_space_group_name_H-M 'P 4/m m m'
_symmetry_Int_Tables_number 123
_symmetry_space_group_name_Hall '-P 4 2'
loop_
_atom_site_label
_atom_site_type_symbol
_atom_site_fract_x
_atom_site_fract_y
_atom_site_fract_z
In1 In 0.000 0.000 0.000
Mo1 Mo 0.000 0.500 0.500
Ru1 Ru 0.500 0.500 0.000
```

---

Copy entry 4 word for word.
A plane-wave DFT calculation with PBE was carried out for a relaxed InMo2Ru crystal.

The crystal system is tetragonal. As for the total energy: -31.54 eV/cell. The value obtained for the formation energy is 0.53 eV per atom.

Geometry as CIF:
```
data_InMo2Ru
_chemical_formula_sum 'In1 Mo2 Ru1'
_cell_length_a 4.752
_cell_length_b 4.752
_cell_length_c 2.933
_cell_angle_alpha 90.00
_cell_angle_beta 90.00
_cell_angle_gamma 90.00
_symmetry_space_group_name_H-M 'P 4/m m m'
_symmetry_Int_Tables_number 123
_symmetry_space_group_name_Hall '-P 4 2'
loop_
_atom_site_label
_atom_site_type_symbol
_atom_site_fract_x
_atom_site_fract_y
_atom_site_fract_z
In1 In 0.000 0.000 0.000
Mo1 Mo 0.000 0.500 0.500
Ru1 Ru 0.500 0.500 0.000
```